1.
A plane-wave DFT calculation with PBE was carried out for a relaxed TaPOsW2 crystal.

abc: 4.3894 4.3894 4.4988
angles: 90.00 90.00 90.00
Last column: nearest neighbours and their distance in Å.
Space group P4/mmm (No. 123)
Asymmetric unit:
Ta 0.0000 0.0000 0.0000  2 P 2.25
P 0.0000 0.0000 0.5000  4 W 2.19, 2 Ta 2.25
Os 0.5000 0.5000 0.0000  4 Ta 3.10, 8 W 3.14
W 0.0000 0.5000 0.5000  2 P 2.19

## Properties
**Total moment**: 0.00 μB/f.u.
**Calculated formation energy**: 0.891 eV per atom
**Energy**: -9.9887 eV per atom
**Fermi-level density of states**: 1.0005 states/eV/atom

=====

2.
A plane-wave DFT calculation with PBE was carried out for a relaxed YTaP2Os crystal.

abc: 4.7584 4.7584 4.8489
angles: 90.00 90.00 90.00
Last column: nearest neighbours and their distance in Å.
Space group P4/mmm (No. 123)
Asymmetric unit:
Y 0.0000 0.0000 0.0000  4 Os 3.36, 8 P 3.40
Ta 0.5000 0.5000 0.5000  4 P 2.38, 2 Os 2.42
P 0.0000 0.5000 0.5000  2 Ta 2.38
Os 0.5000 0.5000 0.0000  2 Ta 2.42

## Properties
**Total moment**: 0.00 μB/f.u.
**Calculated formation energy**: 0.313 eV per atom
**Energy**: -7.7604 eV per atom
**Fermi-level density of states**: 0.9007 states/eV/atom

=====

3.
A plane-wave DFT calculation with PBE was carried out for a relaxed TbP12Os4 crystal.

abc: 8.1051 8.1051 8.1051
angles: 90.00 90.00 90.00
Last column: nearest neighbours and their distance in Å.
Space group Im-3 (No. 204)
Asymmetric unit:
Tb 0.0000 0.0000 0.0000  12 P 3.11
P 0.0000 0.1425 0.3565  2 P 2.31-2.33, 2 Os 2.37
Os 0.2500 0.2500 0.2500  6 P 2.37

## Properties
**Total moment**: 0.00 μB/f.u.
**Calculated formation energy**: -0.575 eV per atom
**Energy**: -7.3083 eV per atom
**Fermi-level density of states**: 0.2999 states/eV/atom

=====

4.
A plane-wave DFT calculation with PBE was carried out for a relaxed TcPOs crystal.

abc: 2.8748 3.9421 7.3928
angles: 90.00 90.00 90.00
Last column: nearest neighbours and their distance in Å.
Space group Imm2 (No. 44)
Asymmetric unit:
Tc 0.0000 0.0000 0.0000  1 P 2.40, 5 Os 2.61-2.67
P 0.0000 0.0000 0.6757  1 Os 2.39, 1 Tc 2.40
Os 0.0000 0.0000 0.3527  1 P 2.39, 5 Tc 2.61-2.67

## Properties
**Total moment**: 0.00 μB/f.u.
**Calculated formation energy**: 0.158 eV per atom
**Energy**: -8.8435 eV per atom
**Fermi-level density of states**: 0.7542 states/eV/atom

=====

5.
A plane-wave DFT calculation with PBE was carried out for a relaxed Tc2POs crystal.

abc: 3.6204 3.6204 4.2916
angles: 90.00 90.00 90.00
Last column: nearest neighbours and their distance in Å.
Space group P4/mmm (No. 123)
Asymmetric unit:
Tc 0.0000 0.5000 0.0000  4 Tc 2.56, 4 Os 2.81, 4 P 2.81
P 0.0000 0.0000 0.5000  4 Os 2.56, 8 Tc 2.81
Os 0.5000 0.5000 0.5000  4 P 2.56, 8 Tc 2.81

## Properties
**Total moment**: 0.00 μB/f.u.
**Calculated formation energy**: 0.377 eV per atom
**Energy**: -8.9662 eV per atom
**Fermi-level density of states**: 1.2914 states/eV/atom

=====

6.
A plane-wave DFT calculation with PBE was carried out for a relaxed TcP3Os crystal.

abc: 4.5622 4.5622 4.5622
angles: 90.00 90.00 90.00
Last column: nearest neighbours and their distance in Å.
Space group Pm-3m (No. 221)
Asymmetric unit:
Tc 0.0000 0.0000 0.0000  12 P 3.23
P 0.0000 0.5000 0.5000  2 Os 2.28
Os 0.5000 0.5000 0.5000  6 P 2.28

## Properties
**Total moment**: 1.62 μB/f.u.
**Calculated formation energy**: 1.211 eV per atom
**Energy**: -6.3537 eV per atom
**Fermi-level density of states**: 1.1319 states/eV/atom

=====

7.
A plane-wave DFT calculation with PBE was carried out for a relaxed Tc2POs crystal.

abc: 2.7980 2.7980 24.5949
angles: 90.00 90.00 120.00
Last column: nearest neighbours and their distance in Å.
Space group R3m (No. 160, hexagonal axes)
Asymmetric unit:
Tc 0.0000 0.0000 0.0000  9 Tc 2.71-2.80, 3 Os 2.76
Tc 0.0000 0.0000 0.2448  3 P 2.52, 9 Tc 2.71-2.80
P 0.0000 0.0000 0.4997  3 Os 2.46, 3 Tc 2.52
Os 0.0000 0.0000 0.7575  3 P 2.46, 3 Tc 2.76

## Properties
**Total moment**: 0.00 μB/f.u.
**Calculated formation energy**: 0.000 eV per atom
**Energy**: -9.3424 eV per atom
**Fermi-level density of states**: 0.7070 states/eV/atom

=====

8.
A plane-wave DFT calculation with PBE was carried out for a relaxed Tc2POs crystal.

abc: 3.8922 2.8296 10.1331
angles: 90.00 90.00 90.00
Last column: nearest neighbours and their distance in Å.
Space group Amm2 (No. 38)
Asymmetric unit:
Tc 0.0000 0.0000 0.0000  1 P 2.34
Tc 0.5000 0.0000 0.3673  4 P 2.60, 3 Os 2.72-2.74, 6 Tc 2.76-2.83
P 0.0000 0.0000 0.7694  5 Tc 2.34-2.60, 2 Os 2.37
Os 0.5000 0.0000 0.6355  2 P 2.37

## Properties
**Total moment**: 0.00 μB/f.u.
**Calculated formation energy**: -0.130 eV per atom
**Energy**: -9.4732 eV per atom
**Fermi-level density of states**: 0.7548 states/eV/atom

=====

9.
A plane-wave DFT calculation with PBE was carried out for a relaxed Tc2POs crystal.

abc: 2.8937 4.7256 8.3190
angles: 90.00 90.00 90.00
Last column: nearest neighbours and their distance in Å.
Space group Cmmm (No. 65)
Asymmetric unit:
Tc 0.0000 0.0000 0.2241  2 P 2.36
P 0.0000 0.5000 0.0000  4 Tc 2.36
Os 0.0000 0.5000 0.5000  4 Tc 2.71, 6 Os 2.77-2.89

## Properties
**Total moment**: 0.50 μB/f.u.
**Calculated formation energy**: 0.333 eV per atom
**Energy**: -9.0096 eV per atom
**Fermi-level density of states**: 1.4254 states/eV/atom

=====

10.
A plane-wave DFT calculation with PBE was carried out for a relaxed TcP4Os crystal.

abc: 6.8828 6.8828 6.8828
angles: 90.00 90.00 90.00
Last column: nearest neighbours and their distance in Å.
Space group F-43m (No. 216)
Asymmetric unit:
Tc 0.0000 0.0000 0.0000  12 P 2.85, 4 Os 2.98
P 0.1250 0.1250 0.3750  6 P 2.43
Os 0.2500 0.2500 0.7500  12 P 2.85, 4 Tc 2.98

## Properties
**Total moment**: 0.01 μB/f.u.
**Calculated formation energy**: 0.970 eV per atom
**Energy**: -6.2363 eV per atom
**Fermi-level density of states**: 1.3591 states/eV/atom

=====

11.
A plane-wave DFT calculation with PBE was carried out for a relaxed Tc2POs crystal.

abc: 3.7515 3.7515 7.8649
angles: 90.00 90.00 90.00
Last column: nearest neighbours and their distance in Å.
Space group I-4m2 (No. 119)
Asymmetric unit:
Tc 0.0000 0.0000 0.0000  4 P 2.65, 4 Tc 2.72, 4 Os 2.72
Tc 0.0000 0.5000 0.2500  4 Os 2.65, 4 Tc 2.72, 4 P 2.72
P 0.0000 0.0000 0.5000  8 Tc 2.65-2.72, 4 Os 2.72
Os 0.0000 0.5000 0.7500  8 Tc 2.65-2.72, 4 P 2.72

## Properties
**Total moment**: 0.00 μB/f.u.
**Calculated formation energy**: 0.213 eV per atom
**Energy**: -9.1300 eV per atom
**Fermi-level density of states**: 1.0817 states/eV/atom

=====

12.
A plane-wave DFT calculation with PBE was carried out for a relaxed Tc2POs crystal.

abc: 2.9111 4.7206 8.3012
angles: 90.00 90.00 90.00
Last column: nearest neighbours and their distance in Å.
Space group Cmm2 (No. 35)
Asymmetric unit:
Tc 0.0000 0.0000 0.0000  2 P 2.37
Tc 0.0000 0.5000 0.2707  8 Tc 2.68-2.91, 2 Os 2.74
P 0.0000 0.5000 0.7740  2 Os 2.36, 2 Tc 2.37
Os 0.0000 0.0000 0.5497  2 P 2.36

## Properties
**Total moment**: 0.00 μB/f.u.
**Calculated formation energy**: 0.386 eV per atom
**Energy**: -8.9564 eV per atom
**Fermi-level density of states**: 1.2360 states/eV/atom

=====

Copy entry 10 word for word.
A plane-wave DFT calculation with PBE was carried out for a relaxed TcP4Os crystal.

abc: 6.8828 6.8828 6.8828
angles: 90.00 90.00 90.00
Last column: nearest neighbours and their distance in Å.
Space group F-43m (No. 216)
Asymmetric unit:
Tc 0.0000 0.0000 0.0000  12 P 2.85, 4 Os 2.98
P 0.1250 0.1250 0.3750  6 P 2.43
Os 0.2500 0.2500 0.7500  12 P 2.85, 4 Tc 2.98

## Properties
**Total moment**: 0.01 μB/f.u.
**Calculated formation energy**: 0.970 eV per atom
**Energy**: -6.2363 eV per atom
**Fermi-level density of states**: 1.3591 states/eV/atom

=====

Question: Among the records above, which one has the highest calculated formation energy?
Answer: TcP3Os